i) {"formula": "Na3Cd4Pt2", "functional": "PBE-GGA", "state": "relaxed", "cell": [[-0.387, 4.083, 2.479], [-1.262, -0.110, 4.617], [8.761, -0.611, 2.369]], "species": ["Na", "Na", "Na", "Cd", "Cd", "Cd", "Cd", "Pt", "Pt"], "frac_coords": [[0.333, 0.333, 0.453], [0.000, 0.000, 0.000], [0.667, 0.667, 0.547], [0.667, 0.667, 0.882], [0.000, 0.000, 0.318], [0.000, 0.000, 0.682], [0.333, 0.333, 0.118], [0.333, 0.333, 0.792], [0.667, 0.667, 0.208]], "magmom_total_mub_per_fu": 0.000, "spacegroup": "C2/m, No. 12", "dos_ef_per_ev_cell": 2.7}



ii) {"formula": "Na3Cd4Pt2", "functional": "PBE-GGA", "state": "relaxed", "cell": [[4.554, 0.000, 0.000], [-2.277, 5.222, 0.681], [0.000, -0.772, 8.822]], "species": ["Na", "Na", "Na", "Cd", "Cd", "Cd", "Cd", "Pt", "Pt"], "frac_coords": [[0.597, 0.194, 0.709], [0.000, 0.000, 0.000], [0.403, 0.806, 0.291], [0.702, 0.405, 0.108], [0.298, 0.595, 0.892], [0.903, 0.806, 0.648], [0.097, 0.194, 0.352], [0.733, 0.466, 0.411], [0.267, 0.534, 0.589]], "magmom_total_mub_per_fu": 0.000, "spacegroup": "C2/m, No. 12", "dos_ef_per_ev_cell": 3.3}



Which structure is the most stable? The one labeled i).



i) {"formula": "NaSrCd2Pt", "functional": "PBE-GGA", "state": "relaxed", "cell": [[-4.268, -2.502, -1.875], [2.239, -4.661, 1.123], [-2.190, 0.113, 4.837]], "species": ["Sr", "Na", "Pt", "Cd", "Cd"], "frac_coords": [[0.500, 0.500, 0.500], [0.000, 0.000, 0.500], [0.000, 0.000, 0.000], [0.000, 0.500, 0.000], [0.500, 0.000, 0.000]], "magmom_total_mub_per_fu": 0.000, "spacegroup": "P4/mmm, No. 123", "dos_ef_per_ev_cell": 2.5}



ii) {"formula": "NaSrCd2Pt", "functional": "PBE-GGA", "state": "relaxed", "cell": [[-3.056, 3.521, -2.656], [-2.674, 1.090, 4.522], [3.684, 4.096, 1.191]], "species": ["Sr", "Na", "Pt", "Cd", "Cd"], "frac_coords": [[0.000, 0.000, 0.500], [0.500, 0.500, 0.500], [0.000, 0.000, 0.000], [0.000, 0.500, 0.000], [0.500, 0.000, 0.000]], "magmom_total_mub_per_fu": 0.000, "spacegroup": "P4/mmm, No. 123", "dos_ef_per_ev_cell": 2.4}



Which structure is the most stable? The one labeled ii).



i) {"formula": "NaTlCd2Pt", "functional": "PBE-GGA", "state": "relaxed", "cell": [[-0.592, -4.257, -3.032], [4.288, 1.348, -2.731], [3.038, -2.826, 3.375]], "species": ["Na", "Tl", "Pt", "Cd", "Cd"], "frac_coords": [[0.000, 0.000, 0.500], [0.500, 0.500, 0.500], [0.000, 0.000, 0.000], [0.000, 0.500, 0.000], [0.500, 0.000, 0.000]], "magmom_total_mub_per_fu": 0.000, "spacegroup": "P4/mmm, No. 123", "dos_ef_per_ev_cell": 2.5}



ii) {"formula": "NaTlCd2Pt", "functional": "PBE-GGA", "state": "relaxed", "cell": [[5.302, 0.000, 0.000], [0.000, 5.302, 0.000], [0.000, 0.000, 5.255]], "species": ["Na", "Tl", "Pt", "Cd", "Cd"], "frac_coords": [[0.500, 0.500, 0.500], [0.000, 0.000, 0.500], [0.000, 0.000, 0.000], [0.000, 0.500, 0.000], [0.500, 0.000, 0.000]], "magmom_total_mub_per_fu": 0.000, "spacegroup": "P4/mmm, No. 123", "dos_ef_per_ev_cell": 2.3}



Which structure is the most stable? The one labeled ii).



i) {"formula": "NaTl2CdPt", "functional": "PBE-GGA", "state": "relaxed", "cell": [[5.294, 0.000, 0.000], [0.000, 5.294, 0.000], [0.000, 0.000, 5.546]], "species": ["Na", "Tl", "Tl", "Pt", "Cd"], "frac_coords": [[0.000, 0.000, 0.500], [0.000, 0.500, 0.000], [0.500, 0.000, 0.000], [0.000, 0.000, 0.000], [0.500, 0.500, 0.500]], "magmom_total_mub_per_fu": 0.000, "spacegroup": "P4/mmm, No. 123", "dos_ef_per_ev_cell": 2.4}



ii) {"formula": "NaTl2CdPt", "functional": "PBE-GGA", "state": "relaxed", "cell": [[5.323, 0.000, 0.000], [0.000, 5.323, 0.000], [0.000, 0.000, 5.344]], "species": ["Na", "Tl", "Tl", "Pt", "Cd"], "frac_coords": [[0.500, 0.500, 0.500], [0.000, 0.500, 0.000], [0.500, 0.000, 0.000], [0.000, 0.000, 0.000], [0.000, 0.000, 0.500]], "magmom_total_mub_per_fu": 0.000, "spacegroup": "P4/mmm, No. 123", "dos_ef_per_ev_cell": 2.8}



Which structure is the most stable? The one labeled ii).